DFT (PBE) results for PrY7Er2 after structural relaxation.

Cell lengths 5.454, 7.953, 9.181 Å; angles 115.67, 72.71, 90.00 degrees
Fractional coordinates of all 10 atoms:
Pr 0.000 0.000 0.000
Y 0.844 0.657 0.314
Y 0.156 0.343 0.686
Y 0.633 0.666 0.733
Y 0.367 0.334 0.267
Y 0.367 0.933 0.267
Y 0.633 0.067 0.733
Y 0.500 0.500 0.000
Er 0.213 0.787 0.573
Er 0.787 0.213 0.427

Formation energy from the elements, eV/f.u.: 2.20
Density of states at the Fermi level, states/eV per cell: 18.7
Total energy, eV per atom: -5.696
Space group: Immm (71)
Distance to the lowest polymorph of the same formula, meV per atom: 0.0